Model one:
GGA-PBE Mg2CrFe2, optimized geometry; space group = P4/mbm
1.0
5.755 0.000 0.000
0.000 5.755 0.000
0.000 0.000 4.355
Mg Cr Fe
4 2 4
Direct
0.176 0.324 0.000
0.324 0.824 0.000
0.676 0.176 0.000
0.824 0.676 0.000
0.000 0.000 0.500
0.500 0.500 0.500
0.134 0.634 0.500
0.366 0.134 0.500
0.634 0.866 0.500
0.866 0.366 0.500


Model two:
GGA-PBE Mg2CrFe2, optimized geometry; space group = P4/mbm
1.0
7.360 0.000 0.000
0.000 7.360 0.000
0.000 0.000 2.921
Mg Cr Fe
4 2 4
Direct
0.138 0.362 0.000
0.362 0.862 0.000
0.638 0.138 0.000
0.862 0.638 0.000
0.000 0.000 0.000
0.500 0.500 0.000
0.161 0.661 0.500
0.339 0.161 0.500
0.661 0.839 0.500
0.839 0.339 0.500


Model three:
GGA-PBE Mg2CrFe2, optimized geometry; space group = I4/mmm
1.0
-1.555 1.555 8.732
1.555 -1.555 8.732
1.555 1.555 -8.732
Mg Cr Fe
2 1 2
Direct
0.118 0.118 0.000
0.882 0.882 0.000
0.500 0.500 0.000
0.250 0.750 0.500
0.750 0.250 0.500


If we sort the structures by their calculated energies, the order from most to least stable is model one, model three, model two.


Model one:
GGA-PBE Mg6CrFe, optimized geometry; space group = Amm2
1.0
4.865 0.000 0.000
0.000 3.041 5.281
0.000 -3.041 5.281
Mg Cr Fe
6 1 1
Direct
0.000 0.000 0.000
0.000 0.508 0.980
0.000 0.980 0.508
0.500 0.170 0.170
0.500 0.182 0.665
0.500 0.665 0.182
0.000 0.504 0.504
0.500 0.664 0.664


Model two:
GGA-PBE Mg6CrFe, optimized geometry; space group = Cmmm
1.0
4.213 -4.282 0.000
4.213 4.282 0.000
0.000 0.000 4.270
Mg Cr Fe
6 1 1
Direct
0.000 0.500 0.500
0.244 0.244 0.000
0.244 0.756 0.000
0.500 0.000 0.500
0.756 0.244 0.000
0.756 0.756 0.000
0.500 0.500 0.500
0.000 0.000 0.500


If we sort the structures by their calculated energies, the order from most to least stable is model two, model one.


Model one:
GGA-PBE Mn2CrFe2, optimized geometry; space group = I4/mmm
1.0
-1.711 1.711 5.025
1.711 -1.711 5.025
1.711 1.711 -5.025
Mn Cr Fe
2 1 2
Direct
0.250 0.750 0.500
0.750 0.250 0.500
0.000 0.000 0.000
0.398 0.398 0.000
0.602 0.602 0.000


Model two:
GGA-PBE Mn2CrFe2, optimized geometry; space group = P4/mbm
1.0
6.674 0.000 0.000
0.000 6.674 0.000
0.000 0.000 2.488
Mn Cr Fe
4 2 4
Direct
0.171 0.329 0.000
0.329 0.829 0.000
0.671 0.171 0.000
0.829 0.671 0.000
0.000 0.000 0.500
0.500 0.500 0.500
0.125 0.625 0.500
0.375 0.125 0.500
0.625 0.875 0.500
0.875 0.375 0.500


Model three:
GGA-PBE Mn2CrFe2, optimized geometry; space group = P4/mbm
1.0
6.673 0.000 0.000
0.000 6.673 0.000
0.000 0.000 2.480
Mn Cr Fe
4 2 4
Direct
0.124 0.376 0.000
0.376 0.876 0.000
0.624 0.124 0.000
0.876 0.624 0.000
0.000 0.000 0.000
0.500 0.500 0.000
0.172 0.672 0.500
0.328 0.172 0.500
0.672 0.828 0.500
0.828 0.328 0.500


If we sort the structures by their calculated energies, the order from most to least stable is model two, model three, model one.


Model one:
GGA-PBE MnCr4Fe, optimized geometry; space group = Cmcm
1.0
2.367 -7.095 0.000
2.367 7.095 0.000
0.000 0.000 4.114
Mn Cr Fe
2 8 2
Direct
0.124 0.876 0.750
0.876 0.124 0.250
0.040 0.456 0.750
0.206 0.290 0.750
0.290 0.206 0.250
0.456 0.040 0.250
0.544 0.960 0.750
0.710 0.794 0.750
0.794 0.710 0.250
0.960 0.544 0.250
0.374 0.626 0.250
0.626 0.374 0.750


Model two:
GGA-PBE MnCr4Fe, optimized geometry; space group = F-43m
1.0
0.000 3.313 3.313
3.313 0.000 3.313
3.313 3.313 0.000
Mn Cr Fe
1 4 1
Direct
0.000 0.000 0.000
0.126 0.625 0.625
0.625 0.126 0.625
0.625 0.625 0.126
0.625 0.625 0.625
0.250 0.250 0.250


If we sort the structures by their calculated energies, the order from most to least stable is model two, model one.


Model one:
GGA-PBE MnCr3Fe, optimized geometry; space group = Pm-3m
1.0
4.158 0.000 0.000
0.000 4.158 0.000
0.000 0.000 4.158
Mn Cr Fe
1 3 1
Direct
0.000 0.000 0.000
0.000 0.000 0.500
0.000 0.500 0.000
0.500 0.000 0.000
0.500 0.500 0.500


Model two:
GGA-PBE MnCr3Fe, optimized geometry; space group = Pm-3m
1.0
4.112 0.000 0.000
0.000 4.112 0.000
0.000 0.000 4.112
Mn Cr Fe
1 3 1
Direct
0.000 0.000 0.000
0.000 0.500 0.500
0.500 0.000 0.500
0.500 0.500 0.000
0.500 0.500 0.500


If we sort the structures by their calculated energies, the order from most to least stable is model one, model two.


Model one:
GGA-PBE MnCr2FeN, optimized geometry; space group = P4/mmm
1.0
3.825 0.000 0.000
0.000 3.825 0.000
0.000 0.000 3.708
Mn Cr Fe N
1 2 1 1
Direct
0.000 0.000 0.000
0.000 0.500 0.500
0.500 0.000 0.500
0.500 0.500 0.000
0.500 0.500 0.500


Model two:
GGA-PBE MnCr2FeN, optimized geometry; space group = P4/mmm
1.0
3.786 0.000 0.000
0.000 3.786 0.000
0.000 0.000 3.740
Mn Cr Fe N
1 2 1 1
Direct
0.000 0.000 0.000
0.000 0.500 0.500
0.500 0.000 0.500
0.500 0.500 0.000
0.000 0.000 0.500


If we sort the structures by their calculated energies, the order from most to least stable is model one, model two.


Model one:
GGA-PBE Cr2FeMo, optimized geometry; space group = R-3m
1.0
1.299 0.750 8.707
-1.299 0.750 8.707
0.000 -1.500 8.707
Cr Fe Mo
2 1 1
Direct
0.242 0.242 0.242
0.758 0.758 0.758
0.500 0.500 0.500
0.000 0.000 0.000


Model two:
GGA-PBE Cr2FeMo, optimized geometry; space group = Cmm2
1.0
1.493 -2.079 0.000
1.493 2.079 0.000
0.000 0.000 8.200
Cr Fe Mo
2 1 1
Direct
0.000 0.000 0.000
0.500 0.500 0.234
0.000 0.000 0.472
0.500 0.500 0.735


If we sort the structures by their calculated energies, the order from most to least stable is model two, model one.


Model one:
GGA-PBE Cr2FeMo, optimized geometry; space group = P4mm
1.0
2.570 0.000 0.000
0.000 2.570 0.000
0.000 0.000 7.607
Cr Fe Mo
2 1 1
Direct
0.000 0.000 0.000
0.500 0.500 0.249
0.000 0.000 0.454
0.500 0.500 0.713


Model two:
GGA-PBE Cr2FeMo, optimized geometry; space group = F-43m
1.0
0.000 2.933 2.933
2.933 0.000 2.933
2.933 2.933 0.000
Cr Fe Mo
2 1 1
Direct
0.000 0.000 0.000
0.250 0.250 0.250
0.500 0.500 0.500
0.750 0.750 0.750


Model three:
GGA-PBE Cr2FeMo, optimized geometry; space group = P4mm
1.0
2.935 0.000 0.000
0.000 2.935 0.000
0.000 0.000 5.858
Cr Fe Mo
2 1 1
Direct
0.000 0.000 0.000
0.500 0.500 0.226
0.000 0.000 0.467
0.500 0.500 0.732


If we sort the structures by their calculated energies, the order from most to least stable is model three, model two, model one.


Model one:
GGA-PBE Cr2FeMo, optimized geometry; space group = P4/mmm
1.0
4.115 0.000 0.000
0.000 4.115 0.000
0.000 0.000 3.001
Cr Fe Mo
2 1 1
Direct
0.000 0.500 0.000
0.500 0.000 0.000
0.000 0.000 0.500
0.500 0.500 0.500


Model two:
GGA-PBE Cr2FeMo, optimized geometry; space group = Pmmm
1.0
2.974 0.000 0.000
0.000 4.107 0.000
0.000 0.000 4.146
Cr Fe Mo
2 1 1
Direct
0.000 0.000 0.000
0.500 0.500 0.000
0.000 0.500 0.500
0.500 0.000 0.500


Model three:
GGA-PBE Cr2FeMo, optimized geometry; space group = I-4m2
1.0
-1.821 1.821 3.814
1.821 -1.821 3.814
1.821 1.821 -3.814
Cr Fe Mo
2 1 1
Direct
0.000 0.000 0.000
0.750 0.250 0.500
0.250 0.750 0.500
0.500 0.500 0.000


Model four:
GGA-PBE Cr2FeMo, optimized geometry; space group = P4/mmm
1.0
2.554 0.000 0.000
0.000 2.554 0.000
0.000 0.000 7.689
Cr Fe Mo
2 1 1
Direct
0.000 0.000 0.214
0.000 0.000 0.786
0.500 0.500 0.000
0.500 0.500 0.500


If we sort the structures by their calculated energies, the order from most to least stable is model two, model one, model four, model three.


Model one:
GGA-PBE Cr2FeMo, optimized geometry; space group = Cmmm
1.0
1.501 -2.066 0.000
1.501 2.066 0.000
0.000 0.000 8.204
Cr Fe Mo
2 1 1
Direct
0.000 0.000 0.236
0.000 0.000 0.764
0.500 0.500 0.000
0.500 0.500 0.500


Model two:
GGA-PBE Cr2FeMo, optimized geometry; space group = Fm-3m
1.0
0.000 2.937 2.937
2.937 0.000 2.937
2.937 2.937 0.000
Cr Fe Mo
2 1 1
Direct
0.250 0.250 0.250
0.750 0.750 0.750
0.000 0.000 0.000
0.500 0.500 0.500


Model three:
GGA-PBE Cr2FeMo, optimized geometry; space group = P2/m
1.0
2.526 0.000 0.000
0.000 4.160 0.000
-0.785 0.000 4.832
Cr Fe Mo
2 1 1
Direct
0.229 0.000 0.238
0.771 0.000 0.762
0.500 0.500 0.000
0.000 0.500 0.500


Model four:
GGA-PBE Cr2FeMo, optimized geometry; space group = C2/m
1.0
2.547 -4.178 0.000
2.547 4.178 0.000
-0.864 0.000 2.390
Cr Fe Mo
2 1 1
Direct
0.000 0.500 0.000
0.500 0.000 0.000
0.000 0.000 0.500
0.500 0.500 0.500


If we sort the structures by their calculated energies, the order from most to least stable is model one, model three, model four, model two.